# 1
TcMo3 | GGA-PBEsol | optimized geometry

As for the calculated volume: 14.988 A^3/atom. The value obtained for the energy above the most stable polymorph in this dataset is 11 meV/atom. The calculation puts the formation energy from the elements at 0.04 eV per atom. Its total energy is -0.8524 Ry per atom.

CIF file:
```
data_TcMo3
_symmetry_space_group_name_H-M 'I m m m'
_symmetry_Int_Tables_number 71
_symmetry_space_group_name_Hall '-I 2 2'
_cell_length_a 3.100
_cell_length_b 4.401
_cell_length_c 8.790
_cell_angle_alpha 90.00
_cell_angle_beta 90.00
_cell_angle_gamma 90.00
loop_
_atom_site_label
_atom_site_type_symbol
_atom_site_fract_x
_atom_site_fract_y
_atom_site_fract_z
_atom_site_occupancy
Tc1 Tc 0.000 0.000 0.000 1
Mo1 Mo 0.000 0.000 0.500 1
Mo2 Mo 0.000 0.500 0.246 1
```

# 2
CsReNiTe2 | GGA-PBEsol | optimized geometry

As for the calculated volume: 26.844 A^3/atom. The value obtained for the formation energy from raw total energies is 0.88 eV/atom. Its total energy is -0.3395 Ry per atom.

CIF file:
```
data_CsReNiTe2
_symmetry_space_group_name_H-M 'P 4/m m m'
_symmetry_Int_Tables_number 123
_symmetry_space_group_name_Hall '-P 4 2'
_cell_length_a 5.280
_cell_length_b 5.280
_cell_length_c 4.815
_cell_angle_alpha 90.00
_cell_angle_beta 90.00
_cell_angle_gamma 90.00
loop_
_atom_site_label
_atom_site_type_symbol
_atom_site_fract_x
_atom_site_fract_y
_atom_site_fract_z
_atom_site_occupancy
Cs1 Cs 0.000 0.000 0.000 1
Re1 Re 0.500 0.500 0.000 1
Ni1 Ni 0.500 0.500 0.500 1
Te1 Te 0.000 0.500 0.500 1
```

# 3
AlZnCd2Ag | GGA-PBEsol | optimized geometry

As for the calculated volume: 23.951 A^3/atom. The calculation puts the formation energy from the elements at 0.60 eV per atom. Its total energy is -0.1228 Ry per atom.

CIF file:
```
data_AlZnCd2Ag
_symmetry_space_group_name_H-M 'P 4/m m m'
_symmetry_Int_Tables_number 123
_symmetry_space_group_name_Hall '-P 4 2'
_cell_length_a 5.075
_cell_length_b 5.075
_cell_length_c 4.650
_cell_angle_alpha 90.00
_cell_angle_beta 90.00
_cell_angle_gamma 90.00
loop_
_atom_site_label
_atom_site_type_symbol
_atom_site_fract_x
_atom_site_fract_y
_atom_site_fract_z
_atom_site_occupancy
Al1 Al 0.000 0.000 0.000 1
Zn1 Zn 0.000 0.000 0.500 1
Cd1 Cd 0.000 0.500 0.000 1
Ag1 Ag 0.500 0.500 0.500 1
```

# 4
RuPt | GGA-PBEsol | optimized geometry

As for the calculated volume: 14.106 A^3/atom. The calculation puts the formation energy from the elements at 0.00 eV per atom. Its total energy is -0.6300 Ry per atom.

CIF file:
```
data_RuPt
_symmetry_space_group_name_H-M 'P m m n'
_symmetry_Int_Tables_number 59
_cell_length_a 2.706
_cell_length_b 3.813
_cell_length_c 5.469
_cell_angle_alpha 90.00
_cell_angle_beta 90.00
_cell_angle_gamma 90.00
loop_
_symmetry_equiv_pos_as_xyz
'x,y,z'
'-x,-y,-z'
'-x+1/2,-y+1/2,z'
'x+1/2,y+1/2,-z'
'x+1/2,-y,-z'
'-x+1/2,y,z'
'-x,y+1/2,-z'
'x,-y+1/2,z'
loop_
_atom_site_label
_atom_site_type_symbol
_atom_site_fract_x
_atom_site_fract_y
_atom_site_fract_z
_atom_site_occupancy
Ru1 Ru 0.250 0.250 0.113 1
Pt1 Pt 0.250 0.250 0.631 1
```

# 5
AgIrAu2 | GGA-PBEsol | optimized geometry

As for the calculated volume: 16.187 A^3/atom. The value obtained for the energy above the most stable polymorph in this dataset is 4 meV/atom. The calculation puts the formation energy from the elements at 0.28 eV per atom. Its total energy is -0.3650 Ry per atom.

CIF file:
```
data_AgIrAu2
_symmetry_space_group_name_H-M 'I m m 2'
_symmetry_Int_Tables_number 44
_symmetry_space_group_name_Hall 'I 2 -2'
_cell_length_a 2.760
_cell_length_b 4.820
_cell_length_c 9.733
_cell_angle_alpha 90.00
_cell_angle_beta 90.00
_cell_angle_gamma 90.00
loop_
_atom_site_label
_atom_site_type_symbol
_atom_site_fract_x
_atom_site_fract_y
_atom_site_fract_z
_atom_site_occupancy
Ag1 Ag 0.000 0.000 0.000 1
Ir1 Ir 0.000 0.500 0.253 1
Au1 Au 0.000 0.000 0.511 1
Au2 Au 0.000 0.500 0.756 1
```

# 6
AlZnPb | GGA-PBEsol | optimized geometry

As for the calculated volume: 20.955 A^3/atom. The calculation puts the formation energy from the elements at 0.21 eV per atom. Its total energy is -0.2217 Ry per atom.

CIF file:
```
data_AlZnPb
_symmetry_space_group_name_H-M 'I 4 m m'
_symmetry_Int_Tables_number 107
_symmetry_space_group_name_Hall 'I 4 -2'
_cell_length_a 3.413
_cell_length_b 3.413
_cell_length_c 10.792
_cell_angle_alpha 90.00
_cell_angle_beta 90.00
_cell_angle_gamma 90.00
loop_
_atom_site_label
_atom_site_type_symbol
_atom_site_fract_x
_atom_site_fract_y
_atom_site_fract_z
_atom_site_occupancy
Al1 Al 0.000 0.000 0.000 1
Zn1 Zn 0.000 0.000 0.389 1
Pb1 Pb 0.000 0.000 0.696 1
```

# 7
LaHfF7 | GGA-PBEsol | optimized geometry

As for the calculated volume: 16.939 A^3/atom. The value obtained for the formation energy from raw total energies is -4.00 eV/atom. Its total energy is -0.5335 Ry per atom.

CIF file:
```
data_LaHfF7
_symmetry_space_group_name_H-M 'P 1 21 1'
_symmetry_Int_Tables_number 4
_symmetry_space_group_name_Hall 'P 2yb'
_cell_length_a 6.279
_cell_length_b 5.875
_cell_length_c 8.464
_cell_angle_alpha 90.00
_cell_angle_beta 102.41
_cell_angle_gamma 90.00
loop_
_atom_site_label
_atom_site_type_symbol
_atom_site_fract_x
_atom_site_fract_y
_atom_site_fract_z
_atom_site_occupancy
La1 La 0.159 0.000 0.189 1
Hf1 Hf 0.311 0.009 0.724 1
F1 F 0.058 0.685 0.025 1
F2 F 0.075 0.779 0.711 1
F3 F 0.099 0.266 0.707 1
F4 F 0.266 0.001 0.484 1
F5 F 0.354 0.018 0.963 1
F6 F 0.454 0.274 0.256 1
F7 F 0.458 0.744 0.269 1
```

# 8
BaZrCo4 | GGA-PBEsol | optimized geometry

As for the calculated volume: 14.613 A^3/atom. The calculation puts the formation energy from the elements at 0.32 eV per atom. Its total energy is -0.4931 Ry per atom.

CIF file:
```
data_BaZrCo4
_symmetry_space_group_name_H-M 'F -4 3 m'
_symmetry_Int_Tables_number 216
_symmetry_space_group_name_Hall 'F -4 2 3'
_cell_length_a 7.052
_cell_length_b 7.052
_cell_length_c 7.052
_cell_angle_alpha 90.00
_cell_angle_beta 90.00
_cell_angle_gamma 90.00
loop_
_atom_site_label
_atom_site_type_symbol
_atom_site_fract_x
_atom_site_fract_y
_atom_site_fract_z
_atom_site_occupancy
Ba1 Ba 0.000 0.000 0.000 1
Zr1 Zr 0.250 0.250 0.750 1
Co1 Co 0.123 0.123 0.377 1
```

# 9
Tc5Rh | GGA-PBEsol | optimized geometry

As for the calculated volume: 13.809 A^3/atom. The value obtained for the energy above the most stable polymorph in this dataset is 0 meV/atom. The calculation puts the formation energy from the elements at -0.09 eV per atom. Its total energy is -0.7963 Ry per atom.

CIF file:
```
data_Tc5Rh
_symmetry_space_group_name_H-M 'P -6 2 m'
_symmetry_Int_Tables_number 189
_symmetry_space_group_name_Hall 'P -6 -2'
_cell_length_a 4.7173
_cell_length_b 4.7173
_cell_length_c 4.2992
_cell_angle_alpha 90.00
_cell_angle_beta 90.00
_cell_angle_gamma 120.00
loop_
_atom_site_label
_atom_site_type_symbol
_atom_site_fract_x
_atom_site_fract_y
_atom_site_fract_z
_atom_site_occupancy
Tc1 Tc 0.0000 0.6669 0.0000 1
Tc2 Tc 0.3333 0.6667 0.5000 1
Rh1 Rh 0.0000 0.0000 0.5000 1
```

# 10
LaCdP2 | GGA-PBEsol | optimized geometry

As for the calculated volume: 20.971 A^3/atom. The value obtained for the energy above the most stable polymorph in this dataset is 57 meV/atom. The calculation puts the formation energy from the elements at -0.48 eV per atom. Its total energy is -0.3683 Ry per atom.

CIF file:
```
data_LaCdP2
_symmetry_space_group_name_H-M 'I -4 m 2'
_symmetry_Int_Tables_number 119
_symmetry_space_group_name_Hall 'I -4 -2'
_cell_length_a 4.086
_cell_length_b 4.086
_cell_length_c 10.047
_cell_angle_alpha 90.00
_cell_angle_beta 90.00
_cell_angle_gamma 90.00
loop_
_atom_site_label
_atom_site_type_symbol
_atom_site_fract_x
_atom_site_fract_y
_atom_site_fract_z
_atom_site_occupancy
La1 La 0.000 0.000 0.000 1
Cd1 Cd 0.000 0.500 0.750 1
P1 P 0.000 0.000 0.500 1
P2 P 0.000 0.500 0.250 1
```

# 11
Ca2ZrPt | GGA-PBEsol | optimized geometry

As for the calculated volume: 21.800 A^3/atom. The calculation puts the formation energy from the elements at -0.10 eV per atom. Its total energy is -0.3810 Ry per atom.

CIF file:
```
data_Ca2ZrPt
_symmetry_space_group_name_H-M 'F -4 3 m'
_symmetry_Int_Tables_number 216
_symmetry_space_group_name_Hall 'F -4 2 3'
_cell_length_a 7.039
_cell_length_b 7.039
_cell_length_c 7.039
_cell_angle_alpha 90.00
_cell_angle_beta 90.00
_cell_angle_gamma 90.00
loop_
_atom_site_label
_atom_site_type_symbol
_atom_site_fract_x
_atom_site_fract_y
_atom_site_fract_z
_atom_site_occupancy
Ca1 Ca 0.000 0.000 0.000 1
Ca2 Ca 0.250 0.250 0.250 1
Zr1 Zr 0.250 0.250 0.750 1
Pt1 Pt 0.000 0.000 0.500 1
```

# 12
LiMg2Pb | GGA-PBEsol | optimized geometry

As for the calculated volume: 21.861 A^3/atom. The calculation puts the formation energy from the elements at -0.15 eV per atom. Its total energy is -0.1841 Ry per atom.

CIF file:
```
data_LiMg2Pb
_symmetry_space_group_name_H-M 'I 4/m m m'
_symmetry_Int_Tables_number 139
_symmetry_space_group_name_Hall '-I 4 2'
_cell_length_a 4.465
_cell_length_b 4.465
_cell_length_c 8.771
_cell_angle_alpha 90.00
_cell_angle_beta 90.00
_cell_angle_gamma 90.00
loop_
_atom_site_label
_atom_site_type_symbol
_atom_site_fract_x
_atom_site_fract_y
_atom_site_fract_z
_atom_site_occupancy
Li1 Li 0.000 0.000 0.000 1
Mg1 Mg 0.000 0.500 0.250 1
Pb1 Pb 0.000 0.000 0.500 1
```